1.
## Tl2GaGeAu (GGA-PBE)

Data for an optimized crystal structure of Tl2GaGeAu.

Computed properties:
Total DFT energy (no corrections) ... -13.62 eV for the cell shown
Formation enthalpy at 0 K ... 406.7 meV per atom
Magnetization ... 0.000 μB per atom
Space group ... No. 123
ρ ... 8.233 g/cm3

Cell and atoms, written as POSCAR:
```
Tl2GaGeAu
1.0
-3.3542 2.2274 -3.6976
3.0780 -1.5152 -3.7049
-2.7438 -4.7150 -0.3513
Tl Au Ge Ga
2 1 1 1
Cartesian
-1.3719 -2.3575 -0.1757 Tl
-1.6771 1.1137 -1.8488 Tl
-1.5100 -2.0014 -3.8769 Au
0.0000 0.0000 0.0000 Ge
1.5390 -0.7576 -1.8524 Ga
```

=====

2.
## Tl2GaGeAu6 (GGA-PBE)

Data for an optimized crystal structure of Tl2GaGeAu6.

Computed properties:
Total DFT energy (no corrections) ... -64.72 eV for the cell shown
Formation enthalpy at 0 K ... -32.2 meV per atom
Magnetization ... 0.000 μB per atom
Space group ... No. 59
ρ ... 12.246 g/cm3

Cell and atoms, written as POSCAR:
```
Tl2GaGeAu6
1.0
6.7040 0.0000 0.0000
0.0000 8.0423 0.0000
0.0000 0.0000 8.7166
Tl Ga Ge Au
4 2 2 12
Cartesian
3.3520 5.6302 2.4355 Tl
0.0000 2.4122 6.7938 Tl
3.3520 5.6302 6.2811 Tl
0.0000 2.4122 1.9228 Tl
0.0000 5.9307 4.3583 Ga
3.3520 2.1117 0.0000 Ga
3.3520 2.1974 4.3583 Ge
0.0000 5.8449 0.0000 Ge
3.3520 0.7728 2.2013 Au
3.3520 0.7728 6.5153 Au
0.0000 7.2696 2.1570 Au
0.0000 7.2696 6.5596 Au
1.7407 7.8922 4.3583 Au
4.9632 7.8922 4.3583 Au
1.4124 3.7692 4.3583 Au
5.2915 3.7692 4.3583 Au
4.7644 4.2731 0.0000 Au
1.9396 4.2731 0.0000 Au
1.6113 0.1502 0.0000 Au
5.0927 0.1502 0.0000 Au
```

=====

3.
## TlGaGeAu3 (GGA-PBE)

Data for an optimized crystal structure of TlGaGeAu3.

Computed properties:
Total DFT energy (no corrections) ... -39.85 eV for the cell shown
Formation enthalpy at 0 K ... -13.6 meV per atom
Magnetization ... 0.000 μB per atom
Space group ... No. 63
ρ ... 10.110 g/cm3

Cell and atoms, written as POSCAR:
```
TlGaGeAu3
1.0
6.2182 0.0000 0.0000
0.0000 6.6727 0.0000
0.0000 -3.3364 7.4232
Tl Ga Ge Au
2 2 2 6
Cartesian
4.6637 0.0000 3.0939 Tl
1.5546 3.3364 4.3294 Tl
1.5546 0.0000 1.0040 Ga
4.6637 3.3364 6.4193 Ga
1.5546 0.0000 6.0105 Ge
4.6637 3.3364 1.4127 Ge
1.5546 0.0000 3.5104 Au
0.0000 1.8186 0.0000 Au
3.1091 4.8541 0.0000 Au
3.1091 1.8186 0.0000 Au
0.0000 4.8541 0.0000 Au
4.6637 3.3364 3.9128 Au
```

=====

4.
## TlGaGe2Au (GGA-PBE)

Data for an optimized crystal structure of TlGaGe2Au.

Computed properties:
Total DFT energy (no corrections) ... -15.97 eV for the cell shown
Formation enthalpy at 0 K ... 387.3 meV per atom
Magnetization ... 0.000 μB per atom
Space group ... No. 123
ρ ... 8.100 g/cm3

Cell and atoms, written as POSCAR:
```
TlGaGe2Au
1.0
5.0314 0.0000 0.0000
0.0000 4.9916 0.0000
0.0000 0.0000 5.0314
Tl Au Ge Ga
1 1 2 1
Cartesian
2.5157 2.4958 2.5157 Tl
0.0000 2.4958 0.0000 Au
0.0000 0.0000 2.5157 Ge
2.5157 0.0000 0.0000 Ge
0.0000 0.0000 0.0000 Ga
```

=====

5.
## TmGaGeAu (GGA-PBE)

Data for an optimized crystal structure of TmGaGeAu.

Computed properties:
Total DFT energy (no corrections) ... -16.97 eV for the cell shown
Formation enthalpy at 0 K ... -393.5 meV per atom
Magnetization ... 0.000 μB per atom
Space group ... No. 216
ρ ... 10.510 g/cm3

Cell and atoms, written as POSCAR:
```
TmGaGeAu
1.0
4.8426 0.0000 0.0000
2.4213 4.1939 0.0000
2.4213 1.3980 3.9540
Ge Tm Au Ga
1 1 1 1
Cartesian
2.4213 1.3980 0.9885 Ge
0.0000 0.0000 0.0000 Tm
7.2640 4.1939 2.9655 Au
4.8426 2.7959 1.9770 Ga
```

=====

6.
## Y2Ga3GeAu4 (GGA-PBE)

Data for an optimized crystal structure of Y2Ga3GeAu4.

Computed properties:
Total DFT energy (no corrections) ... -45.35 eV for the cell shown
Formation enthalpy at 0 K ... -561.0 meV per atom
Magnetization ... 0.000 μB per atom
Space group ... No. 115
ρ ... 10.200 g/cm3

Cell and atoms, written as POSCAR:
```
Y2Ga3GeAu4
1.0
4.2933 0.0000 0.0000
0.0000 4.2933 0.0000
0.0000 0.0000 11.0179
Y Ga Ge Au
2 3 1 4
Cartesian
2.1466 0.0000 2.6352 Y
0.0000 2.1466 8.3828 Y
0.0000 0.0000 5.5090 Ga
2.1466 0.0000 9.5371 Ga
0.0000 2.1466 1.4808 Ga
2.1466 2.1466 5.5090 Ge
2.1466 2.1466 0.0000 Au
0.0000 0.0000 0.0000 Au
2.1466 0.0000 7.0602 Au
0.0000 2.1466 3.9577 Au
```

=====

Look up the ρ of the sixth one.
10.200 g/cm3

=====

Which of these has the lowest formation enthalpy at 0 K?
Y2Ga3GeAu4